Entry 1:
# Ta5Re2W

A relaxed Ta5Re2W crystal (PBE, Alexandria). Values from VASP.

The structure in Quantum ESPRESSO input format:
```
&SYSTEM
  ibrav = 0, nat = 16, ntyp = 3
/
ATOMIC_SPECIES
Ta 180.95 Ta.upf
Re 186.21 Re.upf
W 183.84 W.upf
CELL_PARAMETERS angstrom
5.541 0.000 0.000
0.000 10.871 0.000
0.000 0.000 4.566
ATOMIC_POSITIONS crystal
Ta 0.000 0.000 0.000
Ta 0.158 0.259 0.000
Ta 0.164 0.621 0.500
Ta 0.336 0.121 0.500
Ta 0.342 0.759 0.000
Ta 0.500 0.500 0.000
Ta 0.658 0.241 0.000
Ta 0.664 0.879 0.500
Ta 0.836 0.379 0.500
Ta 0.842 0.741 0.000
Re 0.168 0.880 0.500
Re 0.332 0.380 0.500
Re 0.668 0.620 0.500
Re 0.832 0.120 0.500
W 0.000 0.500 0.000
W 0.500 0.000 0.000
```

Computed properties:
VASP energy = -12.28 eV per atom
SG = No. 55
Calculated formation energy = -0.14 eV per atom



Entry 2:
# TaRe2W

A relaxed TaRe2W crystal (PBE, Alexandria). Values from VASP.

The structure in Quantum ESPRESSO input format:
```
&SYSTEM
  ibrav = 0, nat = 4, ntyp = 3
/
ATOMIC_SPECIES
Ta 180.95 Ta.upf
Re 186.21 Re.upf
W 183.84 W.upf
CELL_PARAMETERS angstrom
2.803 0.000 0.000
0.000 2.803 0.000
0.000 0.000 8.315
ATOMIC_POSITIONS crystal
Ta 0.000 0.000 0.000
Re 0.000 0.000 0.522
Re 0.500 0.500 0.739
W 0.500 0.500 0.275
```

Computed properties:
VASP energy = -12.32 eV per atom
SG = No. 99
Calculated formation energy = 0.11 eV per atom
Energy relative to the lowest polymorph listed for this composition = 273 meV per atom



Entry 3:
# TaReW4

A relaxed TaReW4 crystal (PBE, Alexandria). Values from VASP.

The structure in Quantum ESPRESSO input format:
```
&SYSTEM
  ibrav = 0, nat = 6, ntyp = 3
/
ATOMIC_SPECIES
Ta 180.95 Ta.upf
Re 186.21 Re.upf
W 183.84 W.upf
CELL_PARAMETERS angstrom
0.000 3.705 3.705
3.705 0.000 3.705
3.705 3.705 0.000
ATOMIC_POSITIONS crystal
Ta 0.000 0.000 0.000
Re 0.250 0.250 0.250
W 0.123 0.626 0.626
W 0.626 0.123 0.626
W 0.626 0.626 0.123
W 0.626 0.626 0.626
```

Computed properties:
VASP energy = -12.35 eV per atom
SG = No. 216
Calculated formation energy = 0.33 eV per atom
Energy relative to the lowest polymorph listed for this composition = 0 meV per atom